Below is a relaxed Y2RhSe crystal, with properties calculated at the GGA-PBEsol level.

VASP energy ... -28.90 eV per cell
Density of states at the Fermi level ... 1.11 states/eV per atom
Calculated volume ... 96 Å³/cell
SG ... R3m
Raw formation energy ... -0.816 eV/atom

a b c (Å): 4.156 4.156 6.854
angles (deg): 72.35 72.35 60.00
Atoms (fractional coordinates):
Rh 0.555 0.555 0.336
Se 0.198 0.198 0.407
Y 0.967 0.967 0.099
Y 0.781 0.781 0.657